## one
Material: InAgAu4
Method: DFT, PBE
State: relaxed

```
InAgAu4
1.0
5.5617 0.0000 0.0000
2.7809 4.8166 0.0000
2.7809 1.6055 4.5411
Au In Ag
4 1 1
direct
0.6252 0.6252 0.6252
0.6252 0.1243 0.6252
0.6252 0.6252 0.1243
0.1243 0.6252 0.6252
0.2500 0.2500 0.2500
0.0000 0.0000 0.0000
```

=====

## two
Material: InAgAu4
Method: DFT, PBE
State: relaxed

```
InAgAu4
1.0
4.9069 0.0000 0.0000
-2.4534 4.5998 -0.7434
0.0000 0.7840 4.8525
In Au Ag
1 4 1
direct
0.0000 0.0000 0.0000
0.8346 0.6693 0.5003
0.6656 0.3312 0.0002
0.3344 0.6688 0.9998
0.1654 0.3307 0.4997
0.5000 0.0000 0.5000
```

=====

The structure with the least stability is one.

=====

## one
Material: In3Ag2Au8
Method: DFT, PBE
State: relaxed

```
In3Ag2Au8
1.0
5.5235 0.0000 0.0000
2.7617 4.7835 0.0000
2.7617 1.5945 10.3991
Au In Ag
8 3 2
direct
0.7730 0.2738 0.6794
0.2270 0.7262 0.3206
0.2768 0.2768 0.1696
0.7262 0.2270 0.3206
0.7232 0.7232 0.8304
0.7262 0.7262 0.3206
0.2738 0.2738 0.6794
0.2738 0.7730 0.6794
0.0000 0.0000 0.0000
0.1871 0.1871 0.4388
0.8129 0.8129 0.5612
0.6372 0.6372 0.0885
0.3628 0.3628 0.9115
```

=====

## two
Material: In3Ag2Au8
Method: DFT, PBE
State: relaxed

```
In3Ag2Au8
1.0
-1.5815 2.3866 -4.4595
-2.6020 -5.2438 -4.2474
-6.9434 1.7419 1.0308
Au Ag In
8 2 3
direct
0.0534 0.8543 0.8543
0.3280 0.9184 0.4251
0.9466 0.1457 0.1457
0.7921 0.4291 0.4291
0.2079 0.5709 0.5709
0.6720 0.5749 0.0816
0.3280 0.4251 0.9184
0.6720 0.0816 0.5749
0.3759 0.2890 0.2890
0.6241 0.7110 0.7110
0.0000 0.7447 0.2553
0.0000 0.2553 0.7447
0.5000 0.0000 0.0000
```

=====

The structure with the least stability is one.